Compound: BaCa2As
Source: the Alexandria database
Functional: GGA-PBE
Structure: relaxed

```
BaCa2As
1.0
-1.954 2.352 8.293
1.954 -2.352 8.293
1.954 2.352 -8.293
Ba Ca As
1 2 1
direct
0.000 0.000 0.000 Ba
0.330 0.830 0.500 Ca
0.681 0.681 0.000 Ca
0.828 0.328 0.500 As
```

Summary:
* total magnetic moment: 0.0 μB per cell
* formation energy: -0.54 eV/atom

Compound: KScCl3
Source: the Alexandria database
Functional: GGA-PBE
Structure: relaxed

```
KScCl3
1.0
8.762 0.000 0.000
0.000 3.814 0.000
0.000 0.000 15.137
K Sc Cl
4 4 12
direct
0.061 0.250 0.174 K
0.439 0.750 0.674 K
0.561 0.250 0.326 K
0.939 0.750 0.826 K
0.134 0.750 0.452 Sc
0.366 0.250 0.952 Sc
0.634 0.750 0.048 Sc
0.866 0.250 0.548 Sc
0.041 0.750 0.615 Cl
0.178 0.750 0.002 Cl
0.231 0.250 0.800 Cl
0.269 0.750 0.300 Cl
0.322 0.250 0.502 Cl
0.459 0.250 0.115 Cl
0.541 0.750 0.885 Cl
0.678 0.750 0.498 Cl
0.731 0.250 0.700 Cl
0.769 0.750 0.200 Cl
0.822 0.250 0.998 Cl
0.959 0.250 0.385 Cl
```

Summary:
* total magnetic moment: 4.0 μB per cell
* energy relative to the elements, uncorrected: -1901 meV per atom

Compound: LiPm2Mg6
Source: the Alexandria database
Functional: GGA-PBE
Structure: relaxed

```
LiPm2Mg6
1.0
7.897 -4.558 0.000
7.897 4.558 0.000
-0.004 0.000 3.250
Li Pm Mg
1 2 6
direct
0.000 0.000 0.000 Li
0.333 0.333 0.000 Pm
0.667 0.667 0.000 Pm
0.000 0.328 0.498 Mg
0.000 0.672 0.502 Mg
0.328 0.000 0.498 Mg
0.328 0.672 0.500 Mg
0.672 0.000 0.502 Mg
0.672 0.328 0.500 Mg
```

Summary:
* total magnetic moment: 0.0 μB per cell
* formation energy: -0.05 eV/atom

> Which formula does entry 3 have?

LiPm2Mg6

> Among the records above, which one has the highest total magnetic moment?

KScCl3

Please write out number 2 again, unchanged.
Compound: KScCl3
Source: the Alexandria database
Functional: GGA-PBE
Structure: relaxed

```
KScCl3
1.0
8.762 0.000 0.000
0.000 3.814 0.000
0.000 0.000 15.137
K Sc Cl
4 4 12
direct
0.061 0.250 0.174 K
0.439 0.750 0.674 K
0.561 0.250 0.326 K
0.939 0.750 0.826 K
0.134 0.750 0.452 Sc
0.366 0.250 0.952 Sc
0.634 0.750 0.048 Sc
0.866 0.250 0.548 Sc
0.041 0.750 0.615 Cl
0.178 0.750 0.002 Cl
0.231 0.250 0.800 Cl
0.269 0.750 0.300 Cl
0.322 0.250 0.502 Cl
0.459 0.250 0.115 Cl
0.541 0.750 0.885 Cl
0.678 0.750 0.498 Cl
0.731 0.250 0.700 Cl
0.769 0.750 0.200 Cl
0.822 0.250 0.998 Cl
0.959 0.250 0.385 Cl
```

Summary:
* total magnetic moment: 4.0 μB per cell
* energy relative to the elements, uncorrected: -1901 meV per atom